# 1
First-principles (PBE) data for a geometry-optimized LaTl2Re structure, as listed in Alexandria via LeMat-Bulk.

Cell: 4.399 4.399 11.379 Å, 78.85 78.85 90.00°
Last column: magnetic moment on the atom in μB.
Positions (direct):
Tl 0.655 0.125 0.250  -0.01
Re 0.750 0.250 0.500  0.43
La 0.250 0.750 0.500  -0.01
Tl 0.095 0.625 0.250  -0.01
Re 0.000 0.000 0.000  0.44
La 0.500 0.500 0.000  -0.01
Tl 0.875 0.905 0.750  -0.01
Tl 0.375 0.345 0.750  -0.01

## Properties
Space-group type: No. 122
Magnetization in μB per formula unit: 0.4
Total DFT energy (no corrections) in eV for the cell shown: -38.7
Energy relative to the elements in eV/atom: 0.688
DOS(E_F) in states/eV per cell: 7.71

***

# 2
First-principles (PBE) data for a geometry-optimized La2TlRe structure, as listed in Alexandria via LeMat-Bulk.

Cell: 5.328 5.328 5.328 Å, 60.00 60.00 60.00°
Positions (direct):
La 0.750 0.750 0.750
La 0.250 0.250 0.250
Tl 0.500 0.500 0.500
Re 0.000 0.000 0.000

## Properties
Space-group type: No. 225
Magnetization in μB per formula unit: 0.0
Total DFT energy (no corrections) in eV for the cell shown: -23.9
Energy relative to the elements in eV/atom: 0.195
DOS(E_F) in states/eV per cell: 3.23

***

# 3
First-principles (PBE) data for a geometry-optimized LaTl2Re structure, as listed in Alexandria via LeMat-Bulk.

Cell: 5.046 3.243 6.051 Å, 76.41 90.00 90.00°
Positions (direct):
Re 0.500 0.750 0.750
Tl 0.000 0.620 0.524
La 0.500 0.250 0.250
Tl 0.000 0.880 0.976

## Properties
Space-group type: No. 10
Magnetization in μB per formula unit: 0.0
Total DFT energy (no corrections) in eV for the cell shown: -20.2
Energy relative to the elements in eV/atom: 0.473
DOS(E_F) in states/eV per cell: 3.20

***

# 4
First-principles (PBE) data for a geometry-optimized La2TlRe structure, as listed in Alexandria via LeMat-Bulk.

Cell: 4.279 4.279 8.824 Å, 82.58 82.58 48.77°
Positions (direct):
Tl 0.250 0.250 0.250
La 0.008 0.008 0.944
La 0.492 0.492 0.556
Re 0.750 0.750 0.750

## Properties
Space-group type: No. 12
Magnetization in μB per formula unit: 0.0
Total DFT energy (no corrections) in eV for the cell shown: -23.7
Energy relative to the elements in eV/atom: 0.241
DOS(E_F) in states/eV per cell: 3.79

***

What is the energy relative to the elements in the third record?
0.473 eV/atom

***

total DFT energy (no corrections) of number 4 (La2TlRe)?
-23.7 eV for the cell shown

***

What is the formula in the second record?
La2TlRe